Record 1
Computed, not measured: crystalline FeCoAs2Se at its relaxed geometry at the PBE level of DFT.

Summary:
Excess energy over the best structure of this formula in the dataset in meV per atom: 0
Total moment in μB per atom: 0.396

a b c (Å): 4.359 4.359 5.163
angles (deg): 90.00 90.00 90.00
Fractional coordinates of all 5 atoms:
1 As 0.000 0.500 0.000
2 As 0.500 0.000 0.000
3 Co 0.500 0.500 0.500
4 Fe 0.000 0.000 0.000
5 Se 0.000 0.000 0.500

Record 2
Computed, not measured: crystalline SrZn2PRu at its relaxed geometry at the PBE level of DFT.

Summary:
Formation energy in eV/f.u.: 8.46
Total moment in μB per atom: 0.679

a b c (Å): 5.584 5.430 5.584
angles (deg): 90.00 90.00 90.00
Fractional coordinates of all 5 atoms:
1 Ru 0.500 0.500 0.500
2 Zn 0.000 0.000 0.500
3 Zn 0.500 0.000 0.000
4 P 0.000 0.500 0.000
5 Sr 0.000 0.000 0.000

Record 3
Computed, not measured: crystalline Re2SbOs at its relaxed geometry at the PBE level of DFT.

Summary:
VASP energy in eV/cell: -37.543
Total moment in μB per atom: 0.000

a b c (Å): 4.938 4.938 2.937
angles (deg): 89.98 89.98 115.25
Fractional coordinates of all 4 atoms:
1 Os 0.000 0.500 0.500
2 Re 0.000 0.000 0.000
3 Re 0.500 0.500 0.000
4 Sb 0.500 0.000 0.500

total moment of number 2 (SrZn2PRu)?
0.679 μB per atom